(1)
This record from the Alexandria database describes Pb3AuN after structural relaxation. The functional is PBE.

Lattice parameters (Å, degrees): 5.981 7.058 7.799 97.40 90.30 52.63
Fractional coordinates of all 10 atoms:
Pb (0.262, 0.235, 0.209)
Pb (0.106, 0.064, 0.846)
Pb (0.571, 0.484, 0.590)
Pb (0.493, 0.584, 0.137)
Pb (0.797, 0.816, 0.464)
Pb (0.875, 0.716, 0.917)
Au (0.218, 0.326, 0.608)
Au (0.150, 0.974, 0.446)
N (0.517, 0.683, 0.866)
N (0.851, 0.617, 0.189)

Values from the calculation:
SG: No. 2
DOS(E_F): 1.67 states/eV/f.u.
Uncorrected formation energy: 0.278 eV/atom
Energy relative to the lowest polymorph listed for this composition: 0.000 eV per atom

(2)
This record from the Alexandria database describes V2MoPt2 after structural relaxation. The functional is PBE.

Lattice parameters (Å, degrees): 7.523 7.523 2.684 90.00 90.00 90.00
Fractional coordinates of all 10 atoms:
Mo (0.000, 0.000, 0.000)
Mo (0.500, 0.500, 0.000)
Pt (0.372, 0.872, 0.000)
Pt (0.872, 0.628, 0.000)
Pt (0.628, 0.128, 0.000)
Pt (0.128, 0.372, 0.000)
V (0.169, 0.669, 0.500)
V (0.669, 0.831, 0.500)
V (0.831, 0.331, 0.500)
V (0.331, 0.169, 0.500)

Values from the calculation:
SG: No. 127
DOS(E_F): 6.01 states/eV/f.u.
Calculated formation energy: -0.24 eV/atom
Energy relative to the lowest polymorph listed for this composition: 0.094 eV per atom

(3)
This record from the Alexandria database describes ErU2Tc after structural relaxation. The functional is PBE.

Lattice parameters (Å, degrees): 3.174 3.174 10.243 81.09 81.09 60.00
Each line ends with the local moment (μB).
Fractional coordinates of all 4 atoms:
U (0.261, 0.261, 0.216)  1.52
U (0.739, 0.739, 0.784)  1.52
Tc (0.000, 0.000, 0.000)  -0.18
Er (0.500, 0.500, 0.500)  0.03

Values from the calculation:
SG: No. 166
DOS(E_F): 10.65 states/eV/f.u.
Calculated formation energy: 0.38 eV/atom

(4)
This record from the Alexandria database describes Tm2FeIr3 after structural relaxation. The functional is PBE.

Lattice parameters (Å, degrees): 5.425 5.425 8.177 90.00 90.00 120.00
Each line ends with the local moment (μB).
Fractional coordinates of all 12 atoms:
Tm (0.667, 0.333, 0.437)  -0.11
Tm (0.333, 0.667, 0.563)  -0.11
Tm (0.333, 0.667, 0.937)  -0.11
Tm (0.667, 0.333, 0.063)  -0.11
Fe (0.000, 0.000, 0.500)  2.58
Fe (0.000, 0.000, 0.000)  2.58
Ir (0.169, 0.338, 0.250)  0.15
Ir (0.338, 0.169, 0.750)  0.15
Ir (0.831, 0.662, 0.750)  0.15
Ir (0.169, 0.831, 0.250)  0.15
Ir (0.831, 0.169, 0.750)  0.15
Ir (0.662, 0.831, 0.250)  0.15

Values from the calculation:
SG: No. 194
DOS(E_F): 4.49 states/eV/f.u.
Calculated formation energy: -0.72 eV/atom

> The highest DOS(E_F) belongs to which entry?

ErU2Tc